Density functional theory data (GGA-PBE) for a relaxed LaCuW2 crystal.

Total magnetization ... 0.000 μB per formula unit
Calculated total energy ... -0.598 Ry/atom
Energy above the lowest structure with this stoichiometry ... 224.4 meV/atom
Fermi-level density of states ... 6.007 states/eV/cell
Formation energy from the elements ... 595 meV per atom

Unit cell a=11.015 b=2.802 c=5.030 alpha=90.00 beta=106.28 gamma=90.00
Space group C2/m (No. 12)
One atom of each set of equivalent atoms:
La 0.000 0.000 0.000 (multiplicity 2)
Cu 0.000 0.500 0.500 (multiplicity 2)
W 0.217 0.000 0.717 (multiplicity 4)